The following is a PBE calculation of crystalline SrErIr at its relaxed geometry, from the Open Quantum Materials Database.

Summary:
energy above the most stable polymorph in this dataset = 0.000 eV per atom

Cell lengths 4.925, 4.925, 4.925 Å; angles 60.00, 60.00, 60.00 degrees
Fractional coordinates of all 3 atoms:
Sr 0.000 0.000 0.000
Er 0.500 0.500 0.500
Ir 0.250 0.250 0.250